Record 1
7
Lattice="4.668 0.000 0.000 0.000 4.668 0.000 2.334 2.334 7.926" Properties=species:S:1:pos:R:3 comment="Y4Pd2C PBE relaxed" vol_a3_per_atom=24.67 final_energy_ev_per_fu=-46.94 sg="I4/mmm (139)" delta_e_f_ev_per_atom=-0.211 pbc="T T T"
Y 4.668 4.668 4.962
Y 2.334 2.334 2.964
Y 0.000 2.334 0.000
Y 2.334 0.000 0.000
C 0.000 0.000 0.000
Pd 4.668 4.668 2.188
Pd 2.334 2.334 5.737


Record 2
8
Lattice="-1.513 0.738 -2.922 -4.747 -2.555 1.813 -3.387 3.901 2.738" Properties=species:S:1:pos:R:3 comment="LiPu2HfN4 PBE relaxed" raw_formation_energy_ev_per_atom=-1.2117 vol_a3_per_atom=13.22 final_energy_ev_per_fu=-83.53 sg="P2/m (10)" pbc="T T T"
Li -4.067 0.673 2.276
Pu -3.387 3.901 2.738
Pu -2.450 2.320 -0.092
Hf -3.130 -0.908 -0.555
N -6.107 1.122 3.445
N -3.540 0.962 -1.816
N -5.114 -0.731 0.517
N -4.533 2.815 1.111


Record 3
9
Lattice="5.014 0.000 0.000 -2.507 4.983 -1.181 0.000 -0.109 10.283" Properties=species:S:1:pos:R:3 comment="Na6Ag2Sn PBE relaxed" vol_a3_per_atom=28.48 final_energy_ev_per_fu=-18.15 sg="C2/m (12)" delta_e_f_ev_per_atom=-0.059 pbc="T T T"
Na 2.507 0.301 7.644
Na 2.507 3.179 3.664
Na 2.507 2.100 0.415
Na 0.000 1.696 5.438
Na 0.000 4.573 1.458
Na 0.000 2.774 8.687
Ag 2.507 3.367 6.741
Ag 0.000 1.508 2.360
Sn 0.000 0.000 0.000


Record 4
4
Lattice="4.027 -0.031 0.001 0.030 4.026 0.001 -2.028 -1.997 2.858" Properties=species:S:1:pos:R:3 comment="BeCu2Ru PBE relaxed" vol_a3_per_atom=11.59 final_energy_ev_per_fu=-20.78 sg="I-4m2 (119)" delta_e_f_ev_per_atom=0.105 pbc="T T T"
Ru 2.029 1.997 0.001
Cu 1.998 -2.027 2.859
Cu 0.015 2.014 1.430
Be 2.014 -0.016 1.430


Record 5
6
Lattice="-1.303 -1.268 -4.231 4.367 -0.586 1.337 -1.572 -6.301 2.373" Properties=species:S:1:pos:R:3 comment="NaNdGa2Au2 PBE relaxed" vol_a3_per_atom=21.16 final_energy_ev_per_fu=-21.89 sg="P-3m1 (164)" delta_e_f_ev_per_atom=-0.532 pbc="T T T"
Na -0.786 -3.150 1.186
Nd 0.000 0.000 0.000
Ga 0.150 -2.796 -1.714
Ga 1.343 -5.359 1.193
Au -0.568 -5.672 -0.631
Au 2.061 -2.483 0.109


Record 6
5
Lattice="-0.570 4.082 -5.378 4.490 -3.801 -3.361 -5.042 -3.846 -2.385" Properties=species:S:1:pos:R:3 comment="Cs3PBr PBE relaxed" raw_formation_energy_ev_per_atom=-0.5949 vol_a3_per_atom=62.20 final_energy_ev_per_fu=-12.62 sg="Pm-3m (221)" pbc="T T T"
Cs 2.245 -1.901 -1.681
Cs -2.521 -1.923 -1.193
Cs -0.285 2.041 -2.689
P 0.000 0.000 0.000
Br -0.561 -1.783 -5.562


Record 7
8
Lattice="6.910 0.000 0.000 0.000 6.910 0.000 3.455 3.455 2.536" Properties=species:S:1:pos:R:3 comment="TaCr2Cl PBE relaxed" raw_formation_energy_ev_per_atom=0.8080 vol_a3_per_atom=15.14 final_energy_ev_per_fu=-29.71 sg="I-42d (122)" pbc="T T T"
Cr 4.674 1.728 0.634
Cr 2.236 5.183 0.634
Cr 5.183 5.691 1.902
Cr 8.638 8.129 1.902
Cl 3.455 3.455 0.000
Cl 3.455 6.910 1.268
Ta 0.000 0.000 0.000
Ta 6.910 3.455 1.268


Record 8
6
Lattice="-0.785 -1.177 3.501 3.532 0.969 -0.919 -1.361 6.855 2.000" Properties=species:S:1:pos:R:3 comment="PaTaCo2P2 PBE relaxed" vol_a3_per_atom=14.96 final_energy_ev_per_fu=-51.44 sg="P-3m1 (164)" delta_e_f_ev_per_atom=-0.843 pbc="T T T"
Pa 0.000 0.000 0.000
Ta -0.680 3.427 1.000
Co 0.317 1.236 2.523
Co 1.069 5.410 2.059
P -0.325 4.470 3.467
P 1.711 2.177 1.116


Record 9
3
Lattice="-0.363 -2.763 2.802 -1.782 -2.394 -2.591 6.992 0.046 -1.836" Properties=species:S:1:pos:R:3 comment="CsInAs PBE relaxed" vol_a3_per_atom=34.71 final_energy_ev_per_fu=-8.69 sg="I4mm (107)" delta_e_f_ev_per_atom=-0.149 pbc="T T T"
Cs 0.049 -0.021 -0.014
As 1.486 -3.673 -0.642
In 3.313 -1.417 -0.969


Record 10
4
Lattice="-1.923 1.977 0.104 -1.603 -1.640 1.534 3.078 2.675 6.078" Properties=species:S:1:pos:R:3 comment="Mn2AsP PBE relaxed" vol_a3_per_atom=13.93 final_energy_ev_per_fu=-28.50 sg="P4mm (99)" delta_e_f_ev_per_atom=-0.026 pbc="T T T"
As 0.737 2.341 5.755
Mn 0.098 0.085 0.194
Mn -1.022 0.812 2.282
P 1.278 1.111 2.524


Record 11
4
Lattice="3.937 0.000 0.000 0.000 3.937 0.000 0.000 0.000 6.707" Properties=species:S:1:pos:R:3 comment="TbPa2Ge PBE relaxed" vol_a3_per_atom=25.99 final_energy_ev_per_fu=-28.67 sg="P4/mmm (123)" delta_e_f_ev_per_atom=-0.107 pbc="T T T"
Ge 1.969 1.969 0.000
Pa 0.000 0.000 5.403
Pa 0.000 0.000 1.305
Tb 1.969 1.969 3.354


Record 12
5
Lattice="-3.170 -4.055 -1.899 3.332 -0.582 -4.320 2.886 -3.520 2.700" Properties=species:S:1:pos:R:3 comment="CaAs2CSe PBE relaxed" raw_formation_energy_ev_per_atom=1.9437 vol_a3_per_atom=31.86 final_energy_ev_per_fu=-14.29 sg="P4/mmm (123)" pbc="T T T"
C 1.524 -4.078 -1.760
As 1.666 -0.291 -2.160
As -1.585 -2.028 -0.949
Ca 0.000 0.000 0.000
Se 1.443 -1.760 1.350


Copy entry 6 word for word.
5
Lattice="-0.570 4.082 -5.378 4.490 -3.801 -3.361 -5.042 -3.846 -2.385" Properties=species:S:1:pos:R:3 comment="Cs3PBr PBE relaxed" raw_formation_energy_ev_per_atom=-0.5949 vol_a3_per_atom=62.20 final_energy_ev_per_fu=-12.62 sg="Pm-3m (221)" pbc="T T T"
Cs 2.245 -1.901 -1.681
Cs -2.521 -1.923 -1.193
Cs -0.285 2.041 -2.689
P 0.000 0.000 0.000
Br -0.561 -1.783 -5.562